# PBEsol ZrPtAu2, optimized geometry
# ΔE_f, kJ per mole of atoms: -60.8
# N(E_F), states/eV per atom: 0.75
# Total magnetization, μB per cell: 0.000
data_ZrPtAu2
_cell_length_a 4.118
_cell_length_b 4.118
_cell_length_c 8.068
_cell_angle_alpha 90.00
_cell_angle_beta 90.00
_cell_angle_gamma 90.00
_symmetry_space_group_name_H-M 'I -4 m 2'
_symmetry_Int_Tables_number 119
_symmetry_space_group_name_Hall 'I -4 -2'
loop_
_atom_site_label
_atom_site_type_symbol
_atom_site_fract_x
_atom_site_fract_y
_atom_site_fract_z
_atom_site_occupancy
Zr1 Zr 0.000 0.000 0.000 1
Pt1 Pt 0.000 0.500 0.250 1
Au1 Au 0.000 0.000 0.500 1
Au2 Au 0.000 0.500 0.750 1